Record 1
Below is a geometry-optimized KNi2Os structure, with properties calculated at the PBE level.

It has space group Pmmm (No. 47), with a = 2.5749 Å, b = 4.7007 Å, c = 5.4061 Å, α = 90.00°, β = 90.00° and γ = 90.00°. The distinct sites, in fractional coordinates, are K at (0.0000, 0.0000, 0.0000), Ni at (0.0000, 0.5000, 0.5000), Ni at (0.5000, 0.5000, 0.0000) and Os at (0.5000, 0.0000, 0.5000).

The value obtained for the final energy is -18.6 eV per formula unit. For the calculated volume, the calculation gives 65 Å³/cell. The value obtained for the formation enthalpy at 0 K is 1.3282 eV per atom. The calculation puts the excess energy over the best structure of this formula in the dataset at 0.808 eV/atom.

Record 2
Below is a geometry-optimized KNiOs2 structure, with properties calculated at the PBE level.

It has space group Cmmm (No. 65), with a = 5.3789 Å, b = 9.7288 Å, c = 2.5332 Å, α = 90.00°, β = 90.00° and γ = 90.00°. The distinct sites, in fractional coordinates, are K at (0.0000, 0.0000, 0.0000), Ni at (0.0000, 0.5000, 0.0000) and Os at (0.2500, 0.2500, 0.5000).

The value obtained for the final energy is -23.8 eV per formula unit. For the calculated volume, the calculation gives 133 Å³/cell. The value obtained for the formation enthalpy at 0 K is 1.3922 eV per atom. The calculation puts the excess energy over the best structure of this formula in the dataset at 0.673 eV/atom.

Record 3
Below is a geometry-optimized KNiOs2 structure, with properties calculated at the PBE level.

It has space group I4/mmm (No. 139), with a = 3.7151 Å, b = 3.7151 Å, c = 9.8607 Å, α = 90.00°, β = 90.00° and γ = 90.00°. The distinct sites, in fractional coordinates, are K at (0.0000, 0.0000, 0.0000), Ni at (0.0000, 0.0000, 0.5000) and Os at (0.0000, 0.5000, 0.2500).

The value obtained for the final energy is -22.9 eV per formula unit. For the calculated volume, the calculation gives 136 Å³/cell. The value obtained for the formation enthalpy at 0 K is 1.6135 eV per atom. The calculation puts the excess energy over the best structure of this formula in the dataset at 0.894 eV/atom.

Record 4
Below is a geometry-optimized KNi2Os structure, with properties calculated at the PBE level.

It has space group Immm (No. 71), with a = 2.6042 Å, b = 5.6242 Å, c = 10.3026 Å, α = 90.00°, β = 90.00° and γ = 90.00°. The distinct sites, in fractional coordinates, are K at (0.0000, 0.0000, 0.0000), Ni at (0.0000, 0.5000, 0.2011) and Os at (0.0000, 0.0000, 0.5000).

The value obtained for the final energy is -19.6 eV per formula unit. For the calculated volume, the calculation gives 151 Å³/cell. The value obtained for the formation enthalpy at 0 K is 1.0688 eV per atom. The calculation puts the excess energy over the best structure of this formula in the dataset at 0.549 eV/atom.

Record 5
Below is a geometry-optimized KNiOs2 structure, with properties calculated at the PBE level.

It has space group Pmmm (No. 47), with a = 2.6552 Å, b = 4.7238 Å, c = 5.2733 Å, α = 90.00°, β = 90.00° and γ = 90.00°. The distinct sites, in fractional coordinates, are K at (0.0000, 0.0000, 0.0000), Ni at (0.5000, 0.5000, 0.0000), Os at (0.0000, 0.5000, 0.5000) and Os at (0.5000, 0.0000, 0.5000).

The value obtained for the final energy is -24.3 eV per formula unit. For the calculated volume, the calculation gives 66 Å³/cell. The value obtained for the formation enthalpy at 0 K is 1.2653 eV per atom. The calculation puts the excess energy over the best structure of this formula in the dataset at 0.546 eV/atom.

Record 6
Below is a geometry-optimized KNiOs2 structure, with properties calculated at the PBE level.

It has space group C2/m (No. 12), with a = 11.5710 Å, b = 2.6450 Å, c = 4.6131 Å, α = 90.00°, β = 113.21° and γ = 90.00°. The distinct sites, in fractional coordinates, are K at (0.0000, 0.0000, 0.0000), Ni at (0.0000, 0.5000, 0.5000) and Os at (0.2144, 0.0000, 0.7124).

The value obtained for the final energy is -25.9 eV per formula unit. For the calculated volume, the calculation gives 130 Å³/cell. The value obtained for the formation enthalpy at 0 K is 0.8489 eV per atom. The calculation puts the excess energy over the best structure of this formula in the dataset at 0.130 eV/atom.

Record 7
Below is a geometry-optimized KNi2Os structure, with properties calculated at the PBE level.

It has space group F-43m (No. 216), with a = 6.3108 Å, b = 6.3108 Å, c = 6.3108 Å, α = 90.00°, β = 90.00° and γ = 90.00°. The distinct sites, in fractional coordinates, are K at (0.0000, 0.0000, 0.0000), Ni at (0.0000, 0.0000, 0.5000), Ni at (0.2500, 0.2500, 0.7500) and Os at (0.2500, 0.2500, 0.2500).

The value obtained for the final energy is -17.8 eV per formula unit. For the calculated volume, the calculation gives 251 Å³/cell. The value obtained for the formation enthalpy at 0 K is 1.5262 eV per atom. The calculation puts the excess energy over the best structure of this formula in the dataset at 1.006 eV/atom.

Record 8
Below is a geometry-optimized KNiOs2 structure, with properties calculated at the PBE level.

It has space group Cmmm (No. 65), with a = 2.8150 Å, b = 4.5474 Å, c = 10.0815 Å, α = 90.00°, β = 90.00° and γ = 90.00°. The distinct sites, in fractional coordinates, are K at (0.0000, 0.0000, 0.0000), Ni at (0.0000, 0.0000, 0.5000) and Os at (0.0000, 0.5000, 0.2921).

The value obtained for the final energy is -25.7 eV per formula unit. For the calculated volume, the calculation gives 129 Å³/cell. The value obtained for the formation enthalpy at 0 K is 0.9052 eV per atom. The calculation puts the excess energy over the best structure of this formula in the dataset at 0.186 eV/atom.

Record 9
Below is a geometry-optimized KNi2Os structure, with properties calculated at the PBE level.

It has space group Pm (No. 6), with a = 2.6344 Å, b = 4.0572 Å, c = 7.0565 Å, α = 90.00°, β = 100.34° and γ = 90.00°. The distinct sites, in fractional coordinates, are K at (0.0000, 0.0000, 0.0000), Ni at (0.6602, 0.5000, 0.3213), Ni at (0.7517, 0.0000, 0.5176) and Os at (0.3024, 0.5000, 0.6204).

The value obtained for the final energy is -21.0 eV per formula unit. For the calculated volume, the calculation gives 74 Å³/cell. The value obtained for the formation enthalpy at 0 K is 0.7100 eV per atom. The calculation puts the excess energy over the best structure of this formula in the dataset at 0.190 eV/atom.

Record 10
Below is a geometry-optimized KNi2Os structure, with properties calculated at the PBE level.

It has space group R-3m (No. 166, hexagonal axes), with a = 2.7390 Å, b = 2.7390 Å, c = 28.8300 Å, α = 90.00°, β = 90.00° and γ = 120.00°. The distinct sites, in fractional coordinates, are K at (0.0000, 0.0000, 0.0000), Ni at (0.0000, 0.0000, 0.2369) and Os at (0.0000, 0.0000, 0.5000).

The value obtained for the final energy is -20.9 eV per formula unit. For the calculated volume, the calculation gives 187 Å³/cell. The value obtained for the formation enthalpy at 0 K is 0.7483 eV per atom. The calculation puts the excess energy over the best structure of this formula in the dataset at 0.228 eV/atom.

Record 11
Below is a geometry-optimized KNiOs2 structure, with properties calculated at the PBE level.

It has space group P4/mmm (No. 123), with a = 2.6451 Å, b = 2.6451 Å, c = 9.4222 Å, α = 90.00°, β = 90.00° and γ = 90.00°. The distinct sites, in fractional coordinates, are K at (0.0000, 0.0000, 0.0000), Ni at (0.0000, 0.0000, 0.5000) and Os at (0.5000, 0.5000, 0.3066).

The value obtained for the final energy is -25.9 eV per formula unit. For the calculated volume, the calculation gives 66 Å³/cell. The value obtained for the formation enthalpy at 0 K is 0.8559 eV per atom. The calculation puts the excess energy over the best structure of this formula in the dataset at 0.137 eV/atom.

Record 12
Below is a geometry-optimized KNiOs2 structure, with properties calculated at the PBE level.

It has space group P4mm (No. 99), with a = 2.8199 Å, b = 2.8199 Å, c = 8.8982 Å, α = 90.00°, β = 90.00° and γ = 90.00°. The distinct sites, in fractional coordinates, are K at (0.0000, 0.0000, 0.0000), Ni at (0.5000, 0.5000, 0.3007), Os at (0.0000, 0.0000, 0.4875) and Os at (0.5000, 0.5000, 0.6754).

The value obtained for the final energy is -26.5 eV per formula unit. For the calculated volume, the calculation gives 71 Å³/cell. The value obtained for the formation enthalpy at 0 K is 0.7191 eV per atom. The calculation puts the excess energy over the best structure of this formula in the dataset at 0.000 eV/atom.